# 1
Compound: BaIn2CoPb
Source: Alexandria via LeMat-Bulk
Functional: GGA-PBE
Structure: relaxed

Energy relative to the lowest polymorph listed for this composition, kJ per mole of atoms: 0.0
Energy of formation from the pure elements, meV/atom: -152
Total magnetic moment, μB per cell: 1.0

Cell: 5.1148 5.1148 5.2330 Å, 90.00 90.00 90.00°
Space group P4/mmm (No. 123)
Asymmetric unit:
Ba: 0.0000 0.0000 0.0000 (multiplicity 1)
In: 0.0000 0.5000 0.5000 (multiplicity 2)
Co: 0.5000 0.5000 0.5000 (multiplicity 1)
Pb: 0.5000 0.5000 0.0000 (multiplicity 1)


# 2
Compound: BaICl
Source: Alexandria via LeMat-Bulk
Functional: GGA-PBE
Structure: relaxed

ΔE_f (raw), eV/atom: -2.189
Total magnetic moment, μB per cell: 0.0

Cell: 5.0606 5.0606 8.6616 Å, 90.00 90.00 90.00°
Space group P4/nmm (No. 129, origin choice 2)
Asymmetric unit:
Ba: 0.2500 0.2500 0.2180 (multiplicity 2)
I: 0.2500 0.2500 0.6377 (multiplicity 2)
Cl: 0.2500 0.7500 0.0000 (multiplicity 2)


# 3
Compound: Rb12CdAu7
Source: Alexandria via LeMat-Bulk
Functional: GGA-PBE
Structure: relaxed

Energy of formation from the pure elements, meV/atom: -163
Total magnetic moment, μB per cell: 0.0

Cell: 22.4874 22.4874 6.8890 Å, 90.00 90.00 120.00°
Space group R-3 (No. 148, hexagonal axes)
Asymmetric unit:
Rb: 0.0301 0.4433 0.1936 (multiplicity 18)
Rb: 0.0423 0.8879 0.7946 (multiplicity 18)
Cd: 0.0000 0.0000 0.5000 (multiplicity 3)
Au: 0.0000 0.0000 0.0000 (multiplicity 3)
Au: 0.0577 0.8624 0.3010 (multiplicity 18)


# 4
Compound: Ca2AlReSi
Source: Alexandria via LeMat-Bulk
Functional: GGA-PBE
Structure: relaxed

ΔE_f (raw), eV/atom: 0.565
Total magnetic moment, μB per cell: 0.8

Cell: 5.5193 5.5193 4.6916 Å, 90.00 90.00 90.00°
Space group P4/mmm (No. 123)
Asymmetric unit:
Ca: 0.0000 0.5000 0.0000 (multiplicity 2)
Al: 0.0000 0.0000 0.5000 (multiplicity 1)
Re: 0.5000 0.5000 0.0000 (multiplicity 1)
Si: 0.5000 0.5000 0.5000 (multiplicity 1)


# 5
Compound: SnSeN3
Source: Alexandria via LeMat-Bulk
Functional: GGA-PBE
Structure: relaxed

ΔE_f (raw), eV/atom: 1.600
Total magnetic moment, μB per cell: 0.0

Cell: 3.8466 3.8466 3.8466 Å, 90.00 90.00 90.00°
Space group Pm-3m (No. 221)
Asymmetric unit:
Sn: 0.0000 0.0000 0.0000 (multiplicity 1)
Se: 0.5000 0.5000 0.5000 (multiplicity 1)
N: 0.0000 0.5000 0.5000 (multiplicity 3)


# 6
Compound: Ac2ErCu3Ge4
Source: Alexandria via LeMat-Bulk
Functional: GGA-PBE
Structure: relaxed

Energy of formation from the pure elements, meV/atom: -543
Total magnetic moment, μB per cell: 0.0

Cell: 4.4401 4.4401 10.9448 Å, 90.00 90.00 90.00°
Space group P-4m2 (No. 115)
Asymmetric unit:
Ac: 0.0000 0.5000 0.2287 (multiplicity 2)
Er: 0.0000 0.0000 0.5000 (multiplicity 1)
Cu: 0.0000 0.5000 0.8868 (multiplicity 2)
Cu: 0.5000 0.5000 0.5000 (multiplicity 1)
Ge: 0.0000 0.0000 0.0000 (multiplicity 1)
Ge: 0.0000 0.5000 0.6559 (multiplicity 2)
Ge: 0.5000 0.5000 0.0000 (multiplicity 1)


# 7
Compound: La2As2Ru
Source: Alexandria via LeMat-Bulk
Functional: GGA-PBE
Structure: relaxed

Energy of formation from the pure elements, meV/atom: -889
Total magnetic moment, μB per cell: 0.0

Cell: 6.7986 6.7986 4.7807 Å, 90.00 90.00 90.00°
Space group P4/mbm (No. 127)
Asymmetric unit:
La: 0.1752 0.3248 0.0000 (multiplicity 4)
As: 0.1418 0.6418 0.5000 (multiplicity 4)
Ru: 0.0000 0.0000 0.5000 (multiplicity 2)


# 8
Compound: Nd3MgCd3
Source: Alexandria via LeMat-Bulk
Functional: GGA-PBE
Structure: relaxed

Energy of formation from the pure elements, meV/atom: -135
Total magnetic moment, μB per cell: 2.3

Cell: 10.6207 10.8640 7.1525 Å, 90.00 90.01 90.00°
Space group C2/m (No. 12)
Asymmetric unit:
Nd: 0.0009 0.0000 0.2498 (multiplicity 4)
Nd: 0.2500 0.2484 0.7487 (multiplicity 8)
Mg: 0.1665 0.5000 0.9970 (multiplicity 4)
Cd: 0.0000 0.2670 0.0000 (multiplicity 4)
Cd: 0.0000 0.2885 0.5000 (multiplicity 4)
Cd: 0.2018 0.5000 0.5030 (multiplicity 4)


# 9
Compound: Ta5Ru3
Source: Alexandria via LeMat-Bulk
Functional: GGA-PBE
Structure: relaxed

Energy relative to the lowest polymorph listed for this composition, kJ per mole of atoms: 13.7
Energy of formation from the pure elements, meV/atom: -173
Total magnetic moment, μB per cell: 0.0

Cell: 5.2742 14.1811 7.5734 Å, 90.00 107.15 90.00°
Space group C2/m (No. 12)
Asymmetric unit:
Ta: 0.0956 0.1734 0.2054 (multiplicity 8)
Ta: 0.1567 0.3976 0.3476 (multiplicity 8)
Ta: 0.2487 0.5000 0.9954 (multiplicity 4)
Ru: 0.0000 0.2487 0.5000 (multiplicity 4)
Ru: 0.0000 0.3253 0.0000 (multiplicity 4)
Ru: 0.1413 0.0000 0.3501 (multiplicity 4)


# 10
Compound: DyTl2GaTe4
Source: Alexandria via LeMat-Bulk
Functional: GGA-PBE
Structure: relaxed

ΔE_f (raw), eV/atom: -0.572
Total magnetic moment, μB per cell: 0.0

Cell: 8.9246 9.0109 13.0215 Å, 90.00 90.00 90.00°
Space group Imma (No. 74)
Asymmetric unit:
Dy: 0.2500 0.2500 0.2500 (multiplicity 4)
Tl: 0.0000 0.0000 0.0000 (multiplicity 4)
Tl: 0.2500 0.2500 0.7500 (multiplicity 4)
Ga: 0.0000 0.0000 0.5000 (multiplicity 4)
Te: 0.0000 0.0186 0.2647 (multiplicity 8)
Te: 0.2202 0.2500 0.4899 (multiplicity 8)


# 11
Compound: KAlO2
Source: Alexandria via LeMat-Bulk
Functional: GGA-PBE
Structure: relaxed

ΔE_f (raw), eV/atom: -2.519
Total magnetic moment, μB per cell: 0.0

Cell: 8.6959 8.6953 12.5218 Å, 90.00 99.54 90.00°
Space group C2/c (No. 15)
Asymmetric unit:
K: 0.0315 0.1895 0.3807 (multiplicity 8)
K: 0.2139 0.4389 0.0974 (multiplicity 8)
Al: 0.1019 0.1875 0.6638 (multiplicity 8)
Al: 0.1438 0.4337 0.8344 (multiplicity 8)
O: 0.0000 0.0770 0.7500 (multiplicity 4)
O: 0.0000 0.4549 0.2500 (multiplicity 4)
O: 0.0413 0.3105 0.9171 (multiplicity 8)
O: 0.2116 0.0599 0.5920 (multiplicity 8)
O: 0.2337 0.3108 0.7488 (multiplicity 8)


These records have Fermi-level density of states values of 3.79 0.00 25.29 4.36 2.39 2.45 4.31 23.61 27.10 15.21 0.00 states/eV per cell, in the order they appear.
These records have final energy values of -3.79 -3.96 -1.94 -4.56 -4.89 -4.90 -6.57 -2.80 -11.06 -3.69 -6.21 eV per atom, in the order they appear.